Density functional theory data (PBE) for a relaxed NaPdSe2O8 crystal.

The structure in extended XYZ format:
```
12
Lattice="2.4906 1.4379 8.0804 -2.4906 1.4379 8.0804 0.0000 -2.8759 8.0804" Properties=species:S:1:pos:R:3 pbc="T T T"
Na 0.0000 0.0000 0.0000
Pd 0.0000 0.0000 12.1206
Se 0.0000 0.0000 5.8607
Se 0.0000 0.0000 18.3805
O -1.6765 -0.0406 10.8345
O -0.8031 -1.4722 13.4067
O 0.0000 0.0000 7.5111
O 0.8734 -1.4316 10.8345
O -0.8734 1.4316 13.4067
O 0.0000 0.0000 16.7301
O 0.8031 1.4722 10.8345
O 1.6765 0.0406 13.4066
```

Computed properties:
Uncorrected energy = -60.88 eV/cell
Space group = R-3 (148)
Spin magnetization = 1.01 μB/f.u.
Mass density = 3.97 g/cm3
Formation energy (no corrections) = -62.22 kJ/mol of atoms